Record 1
Entry from Alexandria via LeMat-Bulk: an optimized crystal structure of HgTe2Cl (GGA-PBE).

Properties
Mass density   7.141 g/cm³
Calculated total energy   -1.9984 eV per atom
Formation energy from raw total energies   0.110 eV/atom
Polymorph energy (0 for the lowest one)   0.248 eV/atom
Density of states at the Fermi level   2.1 states/eV/cell

```
4
Lattice="-3.7846 -0.9967 0.3872 0.6796 -1.1426 3.7013 -1.5503 6.8144 2.3883" Properties=species:S:1:pos:R:3 pbc="T T T"
Cl -1.9401 0.6339 2.6413
Te -1.4645 6.4376 2.2563
Te -0.8608 3.7839 1.3262
Hg -2.7152 4.0411 3.8355
```


Record 2
Entry from Alexandria via LeMat-Bulk: an optimized crystal structure of HgTeCl (GGA-PBE).

Properties
Mass density   6.911 g/cm³
Calculated total energy   -1.8463 eV per atom
Formation energy from raw total energies   -0.083 eV/atom
Polymorph energy (0 for the lowest one)   0.296 eV/atom
Density of states at the Fermi level   1.1 states/eV/cell

```
3
Lattice="-3.0691 7.2134 -0.5215 -4.0585 5.3049 -3.4425 -2.6316 0.3355 2.4731" Properties=species:S:1:pos:R:3 pbc="T T T"
Te -5.7510 8.7881 -1.9930
Cl -6.9681 12.0861 -3.7356
Hg -4.1678 4.4980 0.2737
```


Record 3
Entry from Alexandria via LeMat-Bulk: an optimized crystal structure of HgTe2Cl (GGA-PBE).

Properties
Mass density   6.404 g/cm³
Calculated total energy   -2.2050 eV per atom
Formation energy from raw total energies   -0.097 eV/atom
Polymorph energy (0 for the lowest one)   0.041 eV/atom
Density of states at the Fermi level   2.2 states/eV/cell

```
4
Lattice="-2.4177 -3.8616 -0.3464 -0.8316 -2.8672 3.4590 -6.9075 2.2850 2.2820" Properties=species:S:1:pos:R:3 pbc="T T T"
Hg -2.6426 -1.1911 1.4127
Te -3.1215 -6.3688 2.9653
Cl -4.9534 -2.6701 2.7623
Te -7.7670 -3.1645 4.0642
```


Record 4
Entry from Alexandria via LeMat-Bulk: an optimized crystal structure of HgTe2Cl (GGA-PBE).

Properties
Mass density   7.783 g/cm³
Calculated total energy   -1.9677 eV per atom
Formation energy from raw total energies   0.140 eV/atom
Polymorph energy (0 for the lowest one)   0.279 eV/atom
Density of states at the Fermi level   3.1 states/eV/cell

```
4
Lattice="6.0757 -0.0039 -0.0687 -2.5540 5.5129 -0.0687 0.6190 0.9683 3.1057" Properties=species:S:1:pos:R:3 pbc="T T T"
Hg -0.9675 3.2406 1.5185
Cl 3.3474 0.4822 1.5185
Te 0.0000 0.0000 0.0000
Te 1.7609 2.7545 -0.0687
```


Record 5
Entry from Alexandria via LeMat-Bulk: an optimized crystal structure of HgTe2Cl (GGA-PBE).

Properties
Mass density   7.035 g/cm³
Calculated total energy   -2.2462 eV per atom
Formation energy from raw total energies   -0.138 eV/atom
Polymorph energy (0 for the lowest one)   0.000 eV/atom
Density of states at the Fermi level   1.6 states/eV/cell

```
4
Lattice="4.3200 0.0000 0.0000 0.0000 5.3504 -0.0109 0.0000 1.9201 5.0130" Properties=species:S:1:pos:R:3 pbc="T T T"
Te 0.0000 3.8155 2.6272
Cl 2.1600 1.8176 1.2505
Hg 2.1600 5.4529 3.7516
Te 0.0000 7.0903 4.8761
```


Record 6
Entry from Alexandria via LeMat-Bulk: an optimized crystal structure of HgTeCl (GGA-PBE).

Properties
Mass density   6.718 g/cm³
Calculated total energy   -1.7182 eV per atom
Formation energy from raw total energies   0.045 eV/atom
Polymorph energy (0 for the lowest one)   0.424 eV/atom
Density of states at the Fermi level   3.3 states/eV/cell

```
3
Lattice="5.0279 0.0000 0.0000 2.5140 4.3543 0.0000 2.5140 1.4514 4.1053" Properties=species:S:1:pos:R:3 pbc="T T T"
Cl 0.0000 0.0000 0.0000
Te 7.5419 4.3543 3.0790
Hg 5.0279 2.9029 2.0526
```


Record 7
Entry from Alexandria via LeMat-Bulk: an optimized crystal structure of Hg2TeCl (GGA-PBE).

Properties
Mass density   7.470 g/cm³
Calculated total energy   -1.4559 eV per atom
Formation energy from raw total energies   -0.058 eV/atom
Polymorph energy (0 for the lowest one)   0.206 eV/atom
Density of states at the Fermi level   1.3 states/eV/cell

```
4
Lattice="-0.2333 7.0875 3.6936 -3.5123 7.0992 -1.0934 -0.4069 -7.9810 0.2593" Properties=species:S:1:pos:R:3 pbc="T T T"
Cl -1.2565 3.0999 2.6265
Hg -2.8960 3.1057 0.2330
Te -1.8728 7.0933 1.3001
Hg 0.0000 0.0000 0.0000
```


Record 8
Entry from Alexandria via LeMat-Bulk: an optimized crystal structure of HgTe2Cl (GGA-PBE).

Properties
Mass density   6.092 g/cm³
Calculated total energy   -2.0515 eV per atom
Formation energy from raw total energies   0.056 eV/atom
Polymorph energy (0 for the lowest one)   0.195 eV/atom
Density of states at the Fermi level   1.7 states/eV/cell

```
4
Lattice="-2.4782 -1.2132 0.8711 2.8279 -6.8214 -1.4552 2.1761 -0.3226 5.7414" Properties=species:S:1:pos:R:3 pbc="T T T"
Te 1.0907 -0.1617 2.8777
Te 2.1735 -0.3222 5.7344
Cl 0.7189 -4.0980 1.1433
Hg 1.8070 -4.2593 4.0140
```